# 1
! InNiSe2, optimized geometry, DFT PBE; values from VASP
&SYSTEM
  ibrav = 0, nat = 4, ntyp = 3
/
ATOMIC_SPECIES
In 114.82 In.upf
Ni 58.69 Ni.upf
Se 78.96 Se.upf
ATOMIC_POSITIONS crystal
In 0.500 0.500 0.500
Ni 0.750 0.750 0.750
Se 0.000 0.000 0.000
Se 0.250 0.250 0.250
CELL_PARAMETERS angstrom
-1.370 3.534 -2.898
-3.483 -0.734 -3.177
-4.257 2.068 0.606
! Final energy: -13.9 eV per cell
! ΔE_f (raw): 39.5 kJ per mole of atoms

# 2
! MgRhCl2, optimized geometry, DFT PBE; values from VASP
&SYSTEM
  ibrav = 0, nat = 4, ntyp = 3
/
ATOMIC_SPECIES
Cl 35.45 Cl.upf
Mg 24.30 Mg.upf
Rh 102.91 Rh.upf
ATOMIC_POSITIONS crystal
Cl 0.000 0.000 0.000
Cl 0.750 0.750 0.750
Mg 0.500 0.500 0.500
Rh 0.250 0.250 0.250
CELL_PARAMETERS angstrom
-1.282 2.884 3.505
1.770 -0.616 4.328
3.089 3.105 1.749
! Final energy: -12.3 eV per cell
! Polymorph energy (0 for the lowest one): 0.731 eV per atom
! ΔE_f (raw): 7.0 kJ per mole of atoms

# 3
! SrTa2Br, optimized geometry, DFT PBE; values from VASP
&SYSTEM
  ibrav = 0, nat = 4, ntyp = 3
/
ATOMIC_SPECIES
Sr 87.62 Sr.upf
Br 79.90 Br.upf
Ta 180.95 Ta.upf
ATOMIC_POSITIONS crystal
Sr 0.000 0.500 0.500
Br 0.500 0.000 0.500
Ta 0.000 0.000 0.000
Ta 0.500 0.500 0.000
CELL_PARAMETERS angstrom
-1.239 2.032 -2.248
-4.269 -0.653 1.762
0.924 5.152 4.148
! Final energy: -25.1 eV per cell
! Polymorph energy (0 for the lowest one): 0.431 eV per atom
! ΔE_f (raw): 48.1 kJ per mole of atoms

Table of V (Å³ per cell), in record order: 77, 74, 102